1.
An optimized crystal structure of NaEu2Rh. Source: the Alexandria database, functional GGA-PBE.

```
12
Lattice="4.1193 0.0000 0.0000 -2.0596 3.5674 0.0000 0.0000 0.0000 28.5198" Properties=species:S:1:pos:R:3 pbc="T T T"
Na 0.0000 0.0000 0.0000
Na 0.0000 2.3783 19.0132
Na 2.0597 1.1891 9.5066
Eu 0.0000 0.0000 6.3315
Eu 0.0000 0.0000 22.1883
Eu 0.0000 2.3783 12.6817
Eu 0.0000 2.3783 25.3447
Eu 2.0597 1.1891 3.1751
Eu 2.0597 1.1891 15.8381
Rh 0.0000 0.0000 14.2599
Rh 0.0000 2.3783 4.7533
Rh 2.0597 1.1891 23.7665
```

formation enthalpy at 0 K = -70 kJ/mol of formula units
space-group type = R-3m
DOS at the Fermi energy = 19.27 states/eV/f.u.


2.
An optimized crystal structure of NaEu2Rh. Source: the Alexandria database, functional GGA-PBE.

```
4
Lattice="3.5805 0.0000 0.0000 0.0000 3.5805 0.0000 0.0000 0.0000 9.4804" Properties=species:S:1:pos:R:3 pbc="T T T"
Na 0.0000 0.0000 0.0000
Eu 1.7902 1.7902 3.0481
Eu 1.7902 1.7902 6.4323
Rh 0.0000 0.0000 4.7402
```

formation enthalpy at 0 K = -90 kJ/mol of formula units
space-group type = P4/mmm
DOS at the Fermi energy = 16.18 states/eV/f.u.


3.
An optimized crystal structure of Na2Eu4Rh. Source: the Alexandria database, functional GGA-PBE.

```
14
Lattice="5.6253 0.0000 0.0000 0.0000 5.6253 0.0000 0.0000 0.0000 18.2118" Properties=species:S:1:pos:R:3 pbc="T T T"
Na 0.0000 0.0000 2.5102
Na 0.0000 0.0000 15.7016
Na 2.8127 2.8127 6.5957
Na 2.8127 2.8127 11.6161
Eu 0.0000 0.0000 6.1921
Eu 0.0000 0.0000 12.0197
Eu 0.0000 2.8127 0.0000
Eu 0.0000 2.8127 9.1059
Eu 2.8127 0.0000 0.0000
Eu 2.8127 0.0000 9.1059
Eu 2.8127 2.8127 2.9138
Eu 2.8127 2.8127 15.2980
Rh 0.0000 0.0000 9.1059
Rh 2.8127 2.8127 0.0000
```

formation enthalpy at 0 K = -38 kJ/mol of formula units
space-group type = I4/mmm
DOS at the Fermi energy = 42.57 states/eV/f.u.


4.
An optimized crystal structure of NaEuRh4. Source: the Alexandria database, functional GGA-PBE.

```
6
Lattice="0.0000 3.7785 3.7785 3.7785 0.0000 3.7785 3.7785 3.7785 0.0000" Properties=species:S:1:pos:R:3 pbc="T T T"
Na 0.0000 0.0000 0.0000
Eu 5.6677 5.6677 5.6677
Rh 2.8317 2.8317 2.8317
Rh 4.7253 4.7253 2.8317
Rh 4.7253 2.8317 4.7253
Rh 2.8317 4.7253 4.7253
```

formation enthalpy at 0 K = -87 kJ/mol of formula units
space-group type = F-43m
DOS at the Fermi energy = 11.87 states/eV/f.u.


5.
An optimized crystal structure of NaEu3Rh. Source: the Alexandria database, functional GGA-PBE.

```
5
Lattice="5.7050 0.0000 0.0000 0.0000 5.7050 0.0000 0.0000 0.0000 5.7050" Properties=species:S:1:pos:R:3 pbc="T T T"
Na 0.0000 0.0000 0.0000
Eu 0.0000 2.8525 2.8525
Eu 2.8525 0.0000 2.8525
Eu 2.8525 2.8525 0.0000
Rh 2.8525 2.8525 2.8525
```

formation enthalpy at 0 K = -92 kJ/mol of formula units
space-group type = Pm-3m
DOS at the Fermi energy = 28.95 states/eV/f.u.


6.
An optimized crystal structure of NaSrEuRh. Source: the Alexandria database, functional GGA-PBE.

```
16
Lattice="7.6088 0.0000 0.0000 0.0000 7.6088 0.0000 0.0000 0.0000 7.6088" Properties=species:S:1:pos:R:3 pbc="T T T"
Na 0.0000 0.0000 0.0000
Na 0.0000 3.8044 3.8044
Na 3.8044 0.0000 3.8044
Na 3.8044 3.8044 0.0000
Sr 1.9022 1.9022 1.9022
Sr 1.9022 5.7066 5.7066
Sr 5.7066 1.9022 5.7066
Sr 5.7066 5.7066 1.9022
Eu 1.9022 1.9022 5.7066
Eu 1.9022 5.7066 1.9022
Eu 5.7066 1.9022 1.9022
Eu 5.7066 5.7066 5.7066
Rh 0.0000 0.0000 3.8044
Rh 0.0000 3.8044 0.0000
Rh 3.8044 0.0000 0.0000
Rh 3.8044 3.8044 3.8044
```

formation enthalpy at 0 K = -23 kJ/mol of formula units
space-group type = F-43m
DOS at the Fermi energy = 14.76 states/eV/f.u.


7.
An optimized crystal structure of NaEuTlRh. Source: the Alexandria database, functional GGA-PBE.

```
16
Lattice="7.1181 0.0000 0.0000 0.0000 7.1181 0.0000 0.0000 0.0000 7.1181" Properties=species:S:1:pos:R:3 pbc="T T T"
Na 0.0000 0.0000 0.0000
Na 0.0000 3.5590 3.5590
Na 3.5590 0.0000 3.5590
Na 3.5590 3.5590 0.0000
Eu 1.7795 1.7795 5.3385
Eu 1.7795 5.3385 1.7795
Eu 5.3385 1.7795 1.7795
Eu 5.3385 5.3385 5.3385
Tl 1.7795 1.7795 1.7795
Tl 1.7795 5.3385 5.3385
Tl 5.3385 1.7795 5.3385
Tl 5.3385 5.3385 1.7795
Rh 0.0000 0.0000 3.5590
Rh 0.0000 3.5590 0.0000
Rh 3.5590 0.0000 0.0000
Rh 3.5590 3.5590 3.5590
```

formation enthalpy at 0 K = -50 kJ/mol of formula units
space-group type = F-43m
DOS at the Fermi energy = 5.52 states/eV/f.u.


8.
An optimized crystal structure of NaEu3S. Source: the Alexandria database, functional GGA-PBE.

```
5
Lattice="5.7312 0.0000 0.0000 0.0000 5.7312 0.0000 0.0000 0.0000 5.7312" Properties=species:S:1:pos:R:3 pbc="T T T"
Na 0.0000 0.0000 0.0000
Eu 0.0000 2.8656 2.8656
Eu 2.8656 0.0000 2.8656
Eu 2.8656 2.8656 0.0000
S 2.8656 2.8656 2.8656
```

space-group type = Pm-3m
formation energy (no corrections) = -0.704 eV/atom
DOS at the Fermi energy = 4.35 states/eV/f.u.